Entry 1:
NaSrCdPt2 | PBE-GGA | relaxed

The total energy comes out at -14.28 eV per formula unit. The calculation puts the total magnetization at 0.000 μB/f.u. The value obtained for the mass density is 6.8 g/cm³. The formation enthalpy at 0 K comes out at 0.345 eV per atom.

Cell lengths 5.171, 5.171, 5.570 Å; angles 90.00, 90.00, 90.00 degrees
Space group P4/mmm (No. 123)
Symmetry-distinct sites (fractional):
Na: 0.000 0.000 0.000 x1
Sr: 0.500 0.500 0.000 x1
Cd: 0.500 0.500 0.500 x1
Pt: 0.000 0.500 0.500 x2

---

Entry 2:
NaSrCd2Pt | PBE-GGA | relaxed

The total energy comes out at -12.27 eV per formula unit. The calculation puts the total magnetization at 0.000 μB/f.u. The value obtained for the mass density is 5.4 g/cm³. Its offset from the most stable computed form is 0.0 meV per atom. The formation enthalpy at 0 K comes out at -0.279 eV per atom.

Cell lengths 5.366, 5.366, 5.636 Å; angles 90.00, 90.00, 90.00 degrees
Space group P4/mmm (No. 123)
Symmetry-distinct sites (fractional):
Na: 0.000 0.000 0.000 x1
Sr: 0.500 0.500 0.000 x1
Cd: 0.000 0.500 0.500 x2
Pt: 0.500 0.500 0.500 x1

---

Entry 3:
NaSrCd2Pt | PBE-GGA | relaxed

The total energy comes out at -11.91 eV per formula unit. The calculation puts the total magnetization at 0.000 μB/f.u. The value obtained for the mass density is 5.9 g/cm³. Its offset from the most stable computed form is 70.8 meV per atom. The formation enthalpy at 0 K comes out at -0.208 eV per atom.

Cell lengths 5.291, 5.291, 5.311 Å; angles 90.00, 90.00, 90.00 degrees
Space group P4/mmm (No. 123)
Symmetry-distinct sites (fractional):
Na: 0.000 0.000 0.000 x1
Sr: 0.500 0.500 0.000 x1
Cd: 0.000 0.500 0.500 x2
Pt: 0.000 0.000 0.500 x1

---

Entry 4:
Na2Sr6CdPt | PBE-GGA | relaxed

The total energy comes out at -21.97 eV per formula unit. The calculation puts the total magnetization at 0.000 μB/f.u. The value obtained for the mass density is 3.0 g/cm³. The formation enthalpy at 0 K comes out at -0.229 eV per atom.

Cell lengths 12.409, 12.453, 8.772 Å; angles 90.00, 134.86, 90.00 degrees
Space group Cm (No. 8)
Symmetry-distinct sites (fractional):
Na: 0.000 0.250 0.000 x4
Sr: 0.001 0.239 0.500 x4
Sr: 0.240 0.000 0.500 x2
Sr: 0.240 0.000 0.979 x2
Sr: 0.261 0.500 0.500 x2
Sr: 0.262 0.500 0.022 x2
Cd: 0.001 0.500 0.500 x2
Pt: 0.001 0.000 0.500 x2